HfMgCoAs, relaxed, DFT GGA-PBE; energy above the most stable polymorph in this dataset = 0 kJ/mol of formula units; symmetry = F-43m; calculated total energy = -5.722 eV per atom
1.0
0.000 3.194 3.194
3.194 0.000 3.194
3.194 3.194 0.000
Hf Mg Co As
1 1 1 1
Direct
0.000 0.000 0.000
0.250 0.250 0.250
0.750 0.750 0.750
0.500 0.500 0.500